# Na3InSb3S8 (GGA-PBE, optimized geometry)
# Energy relative to the elements, uncorrected, eV per atom: -0.58
# VASP energy, eV/atom: -4.05
data_Na3InSb3S8
_chemical_formula_sum 'Na9 In3 Sb9 S24'
_cell_length_a 7.7893
_cell_length_b 7.7893
_cell_length_c 20.6748
_cell_angle_alpha 90.00
_cell_angle_beta 90.00
_cell_angle_gamma 120.00
_symmetry_space_group_name_H-M 'R -3 m'
_symmetry_Int_Tables_number 166
_symmetry_space_group_name_Hall '-R 3 2"'
loop_
_atom_site_label
_atom_site_type_symbol
_atom_site_fract_x
_atom_site_fract_y
_atom_site_fract_z
Na1 Na 0.0000 0.5000 0.0000
In1 In 0.0000 0.0000 0.5000
Sb1 Sb 0.0000 0.5000 0.5000
S1 S 0.0000 0.0000 0.2432
S2 S 0.0092 0.5046 0.2400